MnPb2Cl | GGA-PBE | optimized geometry

Output
The calculation puts the total energy at -32.185 eV for the cell shown. The calculation puts the volume at 32.56 A^3/atom. The calculation puts the magnetic moment at 0.00 μB per formula unit. The calculation puts the energy above the most stable polymorph in this dataset at 686.6 meV/atom. As for the energy relative to the elements, uncorrected: 585 meV/atom. Its space-group type is I-42d, No. 122.

The structure in POSCAR format:
```
MnPb2Cl
1.0
-5.523 -3.167 -0.183
2.519 -4.602 3.611
-3.445 -0.800 7.001
Pb Mn Cl
4 2 2
Cartesian
-4.401 -2.985 2.074
0.425 -3.241 3.997
-3.894 -3.178 6.273
-5.028 -7.733 8.513
0.000 0.000 0.000
-5.235 -3.925 4.266
-1.502 -3.884 1.714
-1.214 -4.643 6.163
```

---

MnPb2Cl | GGA-PBE | optimized geometry

Output
The calculation puts the total energy at -17.651 eV for the cell shown. The calculation puts the volume at 25.12 A^3/atom. The calculation puts the magnetic moment at 3.91 μB per formula unit. The calculation puts the energy above the most stable polymorph in this dataset at 297.0 meV/atom. As for the energy relative to the elements, uncorrected: 196 meV/atom. Its space-group type is I4/mmm, No. 139.

The structure in POSCAR format:
```
MnPb2Cl
1.0
-4.192 3.574 -1.107
-1.169 -0.451 -5.477
0.461 -3.956 3.963
Cl Mn Pb
1 1 2
Cartesian
-1.694 -1.423 -2.403
-3.205 0.590 -0.218
0.000 0.000 0.000
-2.680 1.562 -3.292
```

---

MnPb2Cl | GGA-PBE | optimized geometry

Output
The calculation puts the total energy at -18.406 eV for the cell shown. The calculation puts the volume at 25.04 A^3/atom. The calculation puts the magnetic moment at 3.90 μB per formula unit. The calculation puts the energy above the most stable polymorph in this dataset at 108.2 meV/atom. As for the energy relative to the elements, uncorrected: 7 meV/atom. Its space-group type is Pm, No. 6.

The structure in POSCAR format:
```
MnPb2Cl
1.0
-0.017 -4.710 -2.508
2.848 0.792 -1.505
4.361 -1.886 3.513
Cl Mn Pb
1 1 2
Cartesian
3.783 -0.149 0.254
5.148 -3.544 0.944
6.687 -0.884 1.616
2.389 -2.869 -0.305
```